A plane-wave DFT calculation with PBE-GGA was carried out for crystalline Ca2La2Ge at its relaxed geometry.

Results
DFT total energy = -3.705 eV per atom
Spin magnetization = 0.0 Bohr magnetons per cell
Energy relative to the lowest polymorph listed for this composition = 35.2 meV/atom
Calculated formation energy = -0.05 eV/f.u.

The structure in CIF format:
```
data_Ca2La2Ge
_chemical_formula_sum 'Ca4 La4 Ge2'
_cell_length_a 7.882
_cell_length_b 7.882
_cell_length_c 5.678
_cell_angle_alpha 90.00
_cell_angle_beta 90.00
_cell_angle_gamma 90.00
_symmetry_space_group_name_H-M 'P 1'
_symmetry_Int_Tables_number 1
loop_
_symmetry_equiv_pos_as_xyz
'x,y,z'
loop_
_atom_site_label
_atom_site_fract_x
_atom_site_fract_y
_atom_site_fract_z
Ca1 0.155 0.345 0.000
Ca2 0.345 0.845 0.000
Ca3 0.655 0.155 0.000
Ca4 0.845 0.655 0.000
La1 0.157 0.657 0.500
La2 0.343 0.157 0.500
La3 0.657 0.843 0.500
La4 0.843 0.343 0.500
Ge1 0.000 0.000 0.000
Ge2 0.500 0.500 0.000
```

A plane-wave DFT calculation with PBE-GGA was carried out for crystalline KGeSN2 at its relaxed geometry.

Results
E_form (uncorrected) = 0.82 eV per atom
DFT total energy = -4.475 eV per atom
Spin magnetization = 3.1 Bohr magnetons per cell
Energy relative to the lowest polymorph listed for this composition = 0.0 meV/atom

The structure in CIF format:
```
data_KGeSN2
_chemical_formula_sum 'K1 Ge1 S1 N2'
_cell_length_a 4.128
_cell_length_b 4.128
_cell_length_c 4.921
_cell_angle_alpha 90.00
_cell_angle_beta 90.00
_cell_angle_gamma 90.00
_symmetry_space_group_name_H-M 'P 1'
_symmetry_Int_Tables_number 1
loop_
_symmetry_equiv_pos_as_xyz
'x,y,z'
loop_
_atom_site_label
_atom_site_fract_x
_atom_site_fract_y
_atom_site_fract_z
K1 0.000 0.000 0.000
Ge1 0.500 0.500 0.500
S1 0.500 0.500 0.000
N1 0.000 0.500 0.500
N2 0.500 0.000 0.500
```

A plane-wave DFT calculation with PBE-GGA was carried out for crystalline W2SeBrN at its relaxed geometry.

Results
E_form (uncorrected) = 1.19 eV per atom
DFT total energy = -6.693 eV per atom
Spin magnetization = 0.0 Bohr magnetons per cell

The structure in CIF format:
```
data_W2SeBrN
_chemical_formula_sum 'W2 Se1 Br1 N1'
_cell_length_a 4.096
_cell_length_b 4.096
_cell_length_c 5.103
_cell_angle_alpha 90.00
_cell_angle_beta 90.00
_cell_angle_gamma 90.00
_symmetry_space_group_name_H-M 'P 1'
_symmetry_Int_Tables_number 1
loop_
_symmetry_equiv_pos_as_xyz
'x,y,z'
loop_
_atom_site_label
_atom_site_fract_x
_atom_site_fract_y
_atom_site_fract_z
W1 0.000 0.500 0.000
W2 0.500 0.000 0.000
Se1 0.000 0.000 0.500
Br1 0.500 0.500 0.500
N1 0.000 0.000 0.000
```

A plane-wave DFT calculation with PBE-GGA was carried out for crystalline Nd5Ag2Pb at its relaxed geometry.

Results
DFT total energy = -4.430 eV per atom
Spin magnetization = 0.0 Bohr magnetons per cell
Calculated formation energy = -2.19 eV/f.u.

The structure in CIF format:
```
data_Nd5Ag2Pb
_chemical_formula_sum 'Nd10 Ag4 Pb2'
_cell_length_a 9.037
_cell_length_b 9.037
_cell_length_c 9.037
_cell_angle_alpha 124.43
_cell_angle_beta 124.43
_cell_angle_gamma 82.48
_symmetry_space_group_name_H-M 'P 1'
_symmetry_Int_Tables_number 1
loop_
_symmetry_equiv_pos_as_xyz
'x,y,z'
loop_
_atom_site_label
_atom_site_fract_x
_atom_site_fract_y
_atom_site_fract_z
Nd1 0.000 0.000 0.000
Nd2 0.007 0.507 0.810
Nd3 0.197 0.007 0.500
Nd4 0.303 0.803 0.810
Nd5 0.493 0.303 0.500
Nd6 0.500 0.500 0.000
Nd7 0.507 0.697 0.500
Nd8 0.697 0.197 0.190
Nd9 0.803 0.993 0.500
Nd10 0.993 0.493 0.190
Ag1 0.132 0.368 0.500
Ag2 0.368 0.868 0.236
Ag3 0.632 0.132 0.764
Ag4 0.868 0.632 0.500
Pb1 0.250 0.250 0.000
Pb2 0.750 0.750 0.000
```

A plane-wave DFT calculation with PBE-GGA was carried out for crystalline TaTi2SnN at its relaxed geometry.

Results
E_form (uncorrected) = -0.66 eV per atom
DFT total energy = -8.654 eV per atom
Spin magnetization = 1.9 Bohr magnetons per cell

The structure in CIF format:
```
data_TaTi2SnN
_chemical_formula_sum 'Ta1 Ti2 Sn1 N1'
_cell_length_a 4.262
_cell_length_b 4.262
_cell_length_c 4.239
_cell_angle_alpha 90.00
_cell_angle_beta 90.00
_cell_angle_gamma 90.00
_symmetry_space_group_name_H-M 'P 1'
_symmetry_Int_Tables_number 1
loop_
_symmetry_equiv_pos_as_xyz
'x,y,z'
loop_
_atom_site_label
_atom_site_fract_x
_atom_site_fract_y
_atom_site_fract_z
Ta1 0.000 0.000 0.000
Ti1 0.000 0.500 0.500
Ti2 0.500 0.000 0.500
Sn1 0.500 0.500 0.000
N1 0.000 0.000 0.500
```

A plane-wave DFT calculation with PBE-GGA was carried out for crystalline SmZnH8Rh2 at its relaxed geometry.

Results
DFT total energy = -4.112 eV per atom
Spin magnetization = 0.0 Bohr magnetons per cell

The structure in CIF format:
```
data_SmZnH8Rh2
_chemical_formula_sum 'Sm1 Zn1 H8 Rh2'
_cell_length_a 6.133
_cell_length_b 6.133
_cell_length_c 6.133
_cell_angle_alpha 45.12
_cell_angle_beta 45.12
_cell_angle_gamma 45.12
_symmetry_space_group_name_H-M 'P 1'
_symmetry_Int_Tables_number 1
loop_
_symmetry_equiv_pos_as_xyz
'x,y,z'
loop_
_atom_site_label
_atom_site_fract_x
_atom_site_fract_y
_atom_site_fract_z
Sm1 0.000 0.000 0.000
Zn1 0.500 0.500 0.500
H1 0.113 0.402 0.823
H2 0.177 0.887 0.598
H3 0.310 0.310 0.310
H4 0.402 0.823 0.113
H5 0.598 0.177 0.887
H6 0.690 0.690 0.690
H7 0.823 0.113 0.402
H8 0.887 0.598 0.177
Rh1 0.207 0.207 0.207
Rh2 0.793 0.793 0.793
```

A plane-wave DFT calculation with PBE-GGA was carried out for crystalline KHfMg6O7 at its relaxed geometry.

Results
E_form (uncorrected) = -2.29 eV per atom
DFT total energy = -5.976 eV per atom
Spin magnetization = 0.9 Bohr magnetons per cell
Energy relative to the lowest polymorph listed for this composition = 0.0 meV/atom

The structure in CIF format:
```
data_KHfMg6O7
_chemical_formula_sum 'K1 Hf1 Mg6 O7'
_cell_length_a 4.175
_cell_length_b 4.175
_cell_length_c 12.118
_cell_angle_alpha 90.00
_cell_angle_beta 90.00
_cell_angle_gamma 90.00
_symmetry_space_group_name_H-M 'P 1'
_symmetry_Int_Tables_number 1
loop_
_symmetry_equiv_pos_as_xyz
'x,y,z'
loop_
_atom_site_label
_atom_site_fract_x
_atom_site_fract_y
_atom_site_fract_z
K1 0.000 0.000 0.000
Hf1 0.500 0.500 0.834
Mg1 0.000 0.000 0.460
Mg2 0.000 0.500 0.278
Mg3 0.000 0.500 0.646
Mg4 0.500 0.000 0.278
Mg5 0.500 0.000 0.646
Mg6 0.500 0.500 0.464
O1 0.000 0.000 0.278
O2 0.000 0.000 0.628
O3 0.000 0.500 0.458
O4 0.000 0.500 0.827
O5 0.500 0.000 0.458
O6 0.500 0.000 0.827
O7 0.500 0.500 0.653
```

A plane-wave DFT calculation with PBE-GGA was carried out for crystalline NiAsRu2 at its relaxed geometry.

Results
DFT total energy = -7.234 eV per atom
Spin magnetization = 0.0 Bohr magnetons per cell
Calculated formation energy = 0.04 eV/f.u.

The structure in CIF format:
```
data_NiAsRu2
_chemical_formula_sum 'Ni1 As1 Ru2'
_cell_length_a 4.219
_cell_length_b 4.219
_cell_length_c 2.983
_cell_angle_alpha 90.00
_cell_angle_beta 90.00
_cell_angle_gamma 90.00
_symmetry_space_group_name_H-M 'P 1'
_symmetry_Int_Tables_number 1
loop_
_symmetry_equiv_pos_as_xyz
'x,y,z'
loop_
_atom_site_label
_atom_site_fract_x
_atom_site_fract_y
_atom_site_fract_z
Ni1 0.000 0.000 0.000
As1 0.500 0.500 0.000
Ru1 0.000 0.500 0.500
Ru2 0.500 0.000 0.500
```

A plane-wave DFT calculation with PBE-GGA was carried out for crystalline SrNi4Ru at its relaxed geometry.

Results
DFT total energy = -5.371 eV per atom
Spin magnetization = 4.0 Bohr magnetons per cell
Calculated formation energy = 1.86 eV/f.u.

The structure in CIF format:
```
data_SrNi4Ru
_chemical_formula_sum 'Sr1 Ni4 Ru1'
_cell_length_a 4.984
_cell_length_b 4.984
_cell_length_c 4.984
_cell_angle_alpha 60.00
_cell_angle_beta 60.00
_cell_angle_gamma 60.00
_symmetry_space_group_name_H-M 'P 1'
_symmetry_Int_Tables_number 1
loop_
_symmetry_equiv_pos_as_xyz
'x,y,z'
loop_
_atom_site_label
_atom_site_fract_x
_atom_site_fract_y
_atom_site_fract_z
Sr1 0.000 0.000 0.000
Ni1 0.128 0.624 0.624
Ni2 0.624 0.128 0.624
Ni3 0.624 0.624 0.128
Ni4 0.624 0.624 0.624
Ru1 0.250 0.250 0.250
```